Record 1
A geometry-optimized LiYP structure. Source: the Alexandria database, functional GGA-PBE.

For the calculated volume, the calculation gives 55.7 Å³/f.u. The uncorrected energy comes out at -5.5915 eV/atom. As for the formation energy: -996 meV/atom. As for the theoretical density: 3.8 g/cm³.

Unit cell a=6.975 b=6.975 c=3.968 alpha=90.00 beta=90.00 gamma=120.00
Fractional positions:
Li  0.000  0.237  0.000
Li  0.237  0.000  0.000
Li  0.763  0.763  0.000
Y  0.000  0.596  0.500
Y  0.404  0.404  0.500
Y  0.596  0.000  0.500
P  0.000  0.000  0.500
P  0.333  0.667  0.000
P  0.667  0.333  0.000

=====

Record 2
A geometry-optimized LiYP structure. Source: the Alexandria database, functional GGA-PBE.

For the calculated volume, the calculation gives 61.5 Å³/f.u. The uncorrected energy comes out at -5.1185 eV/atom. As for the formation energy: -523 meV/atom. As for the theoretical density: 3.4 g/cm³.

Unit cell a=5.641 b=5.426 c=3.566 alpha=74.52 beta=67.95 gamma=37.53
Fractional positions:
Li  0.000  0.000  0.000
Y  0.279  0.279  0.721
P  0.619  0.619  0.381

=====

Record 3
A geometry-optimized LiYP structure. Source: the Alexandria database, functional GGA-PBE.

For the calculated volume, the calculation gives 64.3 Å³/f.u. The uncorrected energy comes out at -5.5622 eV/atom. As for the formation energy: -966 meV/atom. As for the theoretical density: 3.3 g/cm³.

Unit cell a=9.674 b=4.224 c=6.291 alpha=90.00 beta=90.00 gamma=90.00
Fractional positions:
Li  0.042  0.250  0.080
Li  0.458  0.750  0.580
Li  0.542  0.250  0.420
Li  0.958  0.750  0.920
Y  0.160  0.250  0.540
Y  0.340  0.750  0.040
Y  0.660  0.250  0.960
Y  0.840  0.750  0.460
P  0.097  0.750  0.266
P  0.403  0.250  0.766
P  0.597  0.750  0.234
P  0.903  0.250  0.734